(1)
Tb2SmDy6Er3 | PBE | optimized geometry

Structure (POSCAR):
```
Tb2SmDy6Er3
1.0
6.132 0.002 0.011
-3.063 5.312 0.011
-1.038 -1.797 11.551
Tb Sm Dy Er
2 1 6 3
Cartesian
0.002 3.542 0.011
3.067 1.772 0.011
0.000 0.000 0.000
3.055 1.748 8.655
2.043 3.538 2.928
-1.023 1.770 2.917
-0.013 3.520 8.655
-0.012 -0.021 8.645
2.044 -0.002 2.917
-2.049 3.529 5.786
4.080 -0.011 5.786
1.016 1.759 5.786
```

Results
* theoretical density: 8.6 g/cm3
* DFT formation energy: 0.02 eV/atom

=====

(2)
Tb2Sm4DyEr2 | PBE | optimized geometry

Structure (POSCAR):
```
Tb2Sm4DyEr2
1.0
-1.848 3.679 2.930
-6.087 -4.588 -2.436
3.223 -3.496 6.422
Tb Sm Dy Er
2 4 1 2
Cartesian
-5.305 -1.456 2.838
0.593 -2.950 4.078
-2.664 -2.023 5.217
-2.048 -2.382 1.699
-0.624 0.379 3.487
-4.088 -4.785 3.429
0.000 0.000 0.000
-4.667 -1.831 -0.645
-0.045 -2.574 7.561
```

Results
* theoretical density: 8.1 g/cm3
* DFT formation energy: 0.02 eV/atom

=====

(3)
Tb4Sm2DyEr2 | PBE | optimized geometry

Structure (POSCAR):
```
Tb4Sm2DyEr2
1.0
3.591 0.000 0.000
-1.796 9.313 -0.467
0.000 -3.708 8.806
Tb Sm Dy Er
4 2 1 2
Cartesian
1.796 3.397 5.589
0.000 2.208 2.750
1.796 -0.887 2.896
0.000 6.492 5.443
1.796 5.317 2.601
0.000 0.288 5.738
0.000 0.000 0.000
0.000 2.503 8.486
1.796 3.102 -0.147
```

Results
* theoretical density: 8.3 g/cm3
* DFT formation energy: 0.01 eV/atom

=====

(4)
Tb3SmDy2Er6 | PBE | optimized geometry

Structure (POSCAR):
```
Tb3SmDy2Er6
1.0
6.122 0.002 0.005
-3.058 5.303 0.005
-1.024 -1.773 11.511
Tb Sm Dy Er
3 1 2 6
Cartesian
-2.039 3.532 5.760
4.078 -0.001 5.760
1.020 1.766 5.760
0.000 0.000 0.000
0.002 3.536 0.005
3.062 1.769 0.005
3.059 1.761 8.635
2.042 3.535 2.888
-1.020 1.770 2.884
-0.003 3.530 8.635
-0.002 -0.004 8.632
2.043 0.001 2.884
```

Results
* theoretical density: 8.7 g/cm3
* DFT formation energy: 0.02 eV/atom

=====

| no. | DFT total energy (eV/atom) |
| --- | --- |
| 1 | -4.590 |
| 2 | -4.633 |
| 3 | -4.622 |
| 4 | -4.581 |